Compound: SnTe3
Source: the Alexandria database
Functional: GGA-PBE
Structure: optimized geometry

Structure (POSCAR):
```
SnTe3
1.0
-3.937 -4.798 -1.722
1.026 -2.205 3.799
-3.421 2.049 2.113
Te Sn
3 1
Direct
0.000 0.000 0.834
0.000 0.500 0.334
0.500 0.500 0.333
0.500 0.000 0.833
```

Values from the calculation:
Space-group type: P4/mmm, No. 123
Raw formation energy, eV/atom: -0.107
ρ, g/cm3: 6.4
Final energy, Ry/atom: -0.255

Compound: Cs3KCd2F8
Source: the Alexandria database
Functional: GGA-PBE
Structure: optimized geometry

Structure (POSCAR):
```
Cs3KCd2F8
1.0
-5.725 1.377 -3.273
5.570 -1.545 -3.460
-2.164 -8.377 0.259
Cs K Cd F
3 1 2 8
Direct
0.333 0.667 0.630
0.667 0.333 0.370
0.000 0.000 0.000
0.000 0.000 0.500
0.333 0.667 0.191
0.667 0.333 0.809
0.333 0.667 0.949
0.667 0.333 0.051
0.170 0.830 0.308
0.830 0.170 0.692
0.170 0.341 0.308
0.830 0.659 0.692
0.659 0.830 0.308
0.341 0.170 0.692
```

Values from the calculation:
Space-group type: P-3m1, No. 164
Raw formation energy, eV/atom: -2.456
ρ, g/cm3: 4.0
Final energy, Ry/atom: -0.288

Compound: HgTeW2
Source: the Alexandria database
Functional: GGA-PBE
Structure: optimized geometry

Structure (POSCAR):
```
HgTeW2
1.0
-2.801 -1.574 0.582
0.665 0.000 3.197
-3.249 6.031 0.676
Hg Te W
1 1 2
Direct
0.500 0.500 0.250
0.500 0.500 0.750
0.000 0.000 0.983
0.000 0.000 0.517
```

Values from the calculation:
Space-group type: P4/mmm, No. 123
Excess energy over the best structure of this formula in the dataset, meV/atom: 525
Raw formation energy, eV/atom: 0.976
ρ, g/cm3: 15.7
Final energy, Ry/atom: -0.468

Compound: LaNi2H6
Source: the Alexandria database
Functional: GGA-PBE
Structure: optimized geometry

Structure (POSCAR):
```
LaNi2H6
1.0
-1.109 -1.531 3.889
3.710 -2.530 0.062
0.097 4.168 1.669
La Ni H
1 2 6
Direct
0.000 0.000 0.000
0.500 0.333 0.667
0.500 0.667 0.333
0.735 0.000 0.500
0.735 0.500 0.000
0.265 0.000 0.500
0.265 0.500 0.500
0.265 0.500 0.000
0.735 0.500 0.500
```

Values from the calculation:
Space-group type: P6/mmm, No. 191
ρ, g/cm3: 5.8
Final energy, Ry/atom: -0.330

Compound: CaHgF5
Source: the Alexandria database
Functional: GGA-PBE
Structure: optimized geometry

Structure (POSCAR):
```
CaHgF5
1.0
-5.157 -2.611 -1.295
-2.655 -1.373 5.115
-6.260 5.213 1.436
Ca Hg F
2 2 10
Direct
0.536 0.464 0.750
0.464 0.536 0.250
0.000 0.000 0.000
0.000 0.000 0.500
0.258 0.224 0.873
0.328 0.686 0.531
0.224 0.258 0.373
0.868 0.132 0.750
0.314 0.672 0.969
0.686 0.328 0.031
0.132 0.868 0.250
0.776 0.742 0.627
0.672 0.314 0.469
0.742 0.776 0.127
```

Values from the calculation:
Space-group type: C2/c, No. 15
Excess energy over the best structure of this formula in the dataset, meV/atom: 0
Raw formation energy, eV/atom: -2.279
ρ, g/cm3: 4.5
Final energy, Ry/atom: -0.290

Compound: Nb2CuNiBi
Source: the Alexandria database
Functional: GGA-PBE
Structure: optimized geometry

Structure (POSCAR):
```
Nb2CuNiBi
1.0
-1.379 0.081 4.470
3.035 -3.740 1.004
3.415 3.039 0.998
Ni Nb Bi Cu
1 2 1 1
Direct
0.500 0.500 0.500
0.000 0.000 0.500
0.500 0.000 0.000
0.000 0.500 0.000
0.000 0.000 0.000
```

Values from the calculation:
Space-group type: P4/mmm, No. 123
ρ, g/cm3: 8.0
Energy of formation from the pure elements, kJ/mol of atoms: 131
Final energy, Ry/atom: -0.398

Compound: Ac2La3Cd3
Source: the Alexandria database
Functional: GGA-PBE
Structure: optimized geometry

Structure (POSCAR):
```
Ac2La3Cd3
1.0
3.981 0.000 -0.641
-0.217 5.603 -1.347
-0.061 -0.012 12.299
Ac La Cd
2 3 3
Direct
0.270 0.770 0.540
0.730 0.230 0.460
0.381 0.381 0.763
0.619 0.619 0.237
0.500 0.000 0.000
0.888 0.888 0.775
0.000 0.500 0.000
0.112 0.112 0.225
```

Values from the calculation:
Space-group type: Immm, No. 71
ρ, g/cm3: 7.3
Energy of formation from the pure elements, kJ/mol of atoms: -20
Final energy, Ry/atom: -0.252

Compound: Ga2PC2
Source: the Alexandria database
Functional: GGA-PBE
Structure: optimized geometry

Structure (POSCAR):
```
Ga2PC2
1.0
-6.423 0.821 2.475
-0.030 -6.603 2.111
1.248 0.931 2.931
P C Ga
2 4 4
Direct
0.000 0.000 0.000
0.500 0.500 0.000
0.066 0.566 0.500
0.566 0.934 0.500
0.934 0.434 0.500
0.434 0.066 0.500
0.188 0.688 0.000
0.688 0.812 0.000
0.812 0.312 0.000
0.312 0.188 0.000
```

Values from the calculation:
Space-group type: P4/mbm, No. 127
Excess energy over the best structure of this formula in the dataset, meV/atom: 0
ρ, g/cm3: 4.0
Energy of formation from the pure elements, kJ/mol of atoms: 64
Final energy, Ry/atom: -0.391

Compound: CaScTc4
Source: the Alexandria database
Functional: GGA-PBE
Structure: optimized geometry

Structure (POSCAR):
```
CaScTc4
1.0
1.393 2.521 4.484
2.237 4.831 -0.244
-2.731 4.285 1.606
Ca Sc Tc
1 1 4
Direct
0.750 0.750 0.750
0.000 0.000 0.000
0.876 0.375 0.375
0.375 0.375 0.876
0.375 0.876 0.375
0.375 0.375 0.375
```

Values from the calculation:
Space-group type: F-43m, No. 216
ρ, g/cm3: 7.4
Energy of formation from the pure elements, kJ/mol of atoms: 2
Final energy, Ry/atom: -0.608

Compound: AlVPd2Pb
Source: the Alexandria database
Functional: GGA-PBE
Structure: optimized geometry

Structure (POSCAR):
```
AlVPd2Pb
1.0
4.685 0.000 0.000
0.000 5.194 0.000
0.000 0.000 4.685
Pb Al Pd V
1 1 2 1
Direct
0.000 0.500 0.000
0.500 0.500 0.500
0.000 0.000 0.500
0.500 0.000 0.000
0.000 0.000 0.000
```

Values from the calculation:
Space-group type: P4/mmm, No. 123
ρ, g/cm3: 7.3
Energy of formation from the pure elements, kJ/mol of atoms: 75
Final energy, Ry/atom: -0.339

Compound: BaNa3Hg3
Source: the Alexandria database
Functional: GGA-PBE
Structure: optimized geometry

Structure (POSCAR):
```
BaNa3Hg3
1.0
-7.546 -2.368 -2.169
3.211 -5.565 -5.097
0.000 -5.539 6.047
Na Hg Ba
6 6 2
Direct
0.000 0.250 0.500
0.000 0.750 0.500
0.500 0.000 0.750
0.750 0.500 0.000
0.500 0.000 0.250
0.250 0.500 0.000
0.250 0.000 0.500
0.000 0.500 0.250
0.500 0.750 0.000
0.750 0.000 0.500
0.000 0.500 0.750
0.500 0.250 0.000
0.500 0.500 0.500
0.000 0.000 0.000
```

Values from the calculation:
Space-group type: Pm-3n, No. 223
Excess energy over the best structure of this formula in the dataset, meV/atom: 264
ρ, g/cm3: 4.9
Energy of formation from the pure elements, kJ/mol of atoms: -3
Final energy, Ry/atom: -0.074

Compound: AsPtW2
Source: the Alexandria database
Functional: GGA-PBE
Structure: optimized geometry

Structure (POSCAR):
```
AsPtW2
1.0
-1.975 0.662 -1.826
3.314 -0.848 -3.893
0.863 -4.830 -2.684
As W Pt
1 2 1
Direct
0.500 0.500 0.500
0.000 0.000 0.000
0.500 0.500 0.000
0.000 0.000 0.500
```

Values from the calculation:
Space-group type: P2/m, No. 10
ρ, g/cm3: 16.5
Energy of formation from the pure elements, kJ/mol of atoms: 31
Final energy, Ry/atom: -0.649